UMnPdO6 | PBE with a Hubbard U | relaxed

Cell: 5.3117 5.3117 9.4879 Å, 90.00 90.00 120.00°
Site moments in Bohr magnetons follow the coordinates.
Element x y z (fractional)
1 U 0.6667 0.3333 0.2500  0.12
2 U 0.3333 0.6667 0.7500  0.12
3 Mn 0.0000 0.0000 0.0000  4.58
4 Mn 0.0000 0.0000 0.5000  4.58
5 Pd 0.3333 0.6667 0.2500  0.09
6 Pd 0.6667 0.3333 0.7500  0.09
7 O 0.6537 0.6608 0.1322  0.01
8 O 0.0071 0.3463 0.1322  0.01
9 O 0.3463 0.0071 0.6322  0.01
10 O 0.9929 0.6537 0.8678  0.01
11 O 0.3392 0.3463 0.3678  0.01
12 O 0.0071 0.6608 0.3678  0.01
13 O 0.6608 0.0071 0.8678  0.01
14 O 0.6537 0.9929 0.3678  0.01
15 O 0.9929 0.3392 0.6322  0.01
16 O 0.3392 0.9929 0.1322  0.01
17 O 0.6608 0.6537 0.6322  0.01
18 O 0.3463 0.3392 0.8678  0.01

## Properties
VASP energy ... -7.81 eV per atom
Space-group type ... P-31c (163)
Magnetization ... 10.00 μB per cell